This record from Alexandria via LeMat-Bulk describes a geometry-optimized MgCrPCl2 structure. The functional is GGA-PBEsol.

Results
Formation energy without anion corrections   0.06 eV per atom
Distance to the lowest polymorph of the same formula   356.1 meV/atom
Uncorrected energy   -4.30 eV per atom
Calculated volume   22.9 Å³ per atom

The structure in CIF format:
```
data_MgCrPCl2
_chemical_formula_sum 'Mg1 Cr1 P1 Cl2'
_space_group_name_H-M_alt 'P 4/m m m'
_space_group_IT_number 123
_space_group_name_Hall '-P 4 2'
_cell_length_a 4.536
_cell_length_b 4.536
_cell_length_c 5.559
_cell_angle_alpha 90.00
_cell_angle_beta 90.00
_cell_angle_gamma 90.00
loop_
_atom_site_label
_atom_site_type_symbol
_atom_site_fract_x
_atom_site_fract_y
_atom_site_fract_z
_atom_site_occupancy
Mg1 Mg 0.000 0.000 0.000 1
Cr1 Cr 0.500 0.500 0.500 1
P1 P 0.000 0.000 0.500 1
Cl1 Cl 0.000 0.500 0.000 1
```

***

This record from Alexandria via LeMat-Bulk describes a geometry-optimized MgCrPCl2 structure. The functional is GGA-PBEsol.

Results
Formation energy without anion corrections   -0.30 eV per atom
Distance to the lowest polymorph of the same formula   0.0 meV/atom
Uncorrected energy   -4.65 eV per atom
Calculated volume   20.4 Å³ per atom

The structure in CIF format:
```
data_MgCrPCl2
_chemical_formula_sum 'Mg1 Cr1 P1 Cl2'
_space_group_name_H-M_alt 'P 4/m m m'
_space_group_IT_number 123
_space_group_name_Hall '-P 4 2'
_cell_length_a 4.602
_cell_length_b 4.602
_cell_length_c 4.825
_cell_angle_alpha 90.00
_cell_angle_beta 90.00
_cell_angle_gamma 90.00
loop_
_atom_site_label
_atom_site_type_symbol
_atom_site_fract_x
_atom_site_fract_y
_atom_site_fract_z
_atom_site_occupancy
Mg1 Mg 0.000 0.000 0.000 1
Cr1 Cr 0.500 0.500 0.500 1
P1 P 0.500 0.500 0.000 1
Cl1 Cl 0.000 0.500 0.500 1
```

***

This record from Alexandria via LeMat-Bulk describes a geometry-optimized Rb6Mn2CrCl12 structure. The functional is GGA-PBEsol.

Results
Formation energy without anion corrections   -1.55 eV per atom
Uncorrected energy   -4.41 eV per atom
Calculated volume   28.2 Å³ per atom

The structure in CIF format:
```
data_Rb6Mn2CrCl12
_chemical_formula_sum 'Rb12 Mn4 Cr2 Cl24'
_space_group_name_H-M_alt 'I 4/m m m'
_space_group_IT_number 139
_space_group_name_Hall '-I 4 2'
_cell_length_a 4.975
_cell_length_b 4.975
_cell_length_c 47.787
_cell_angle_alpha 90.00
_cell_angle_beta 90.00
_cell_angle_gamma 90.00
loop_
_atom_site_label
_atom_site_type_symbol
_atom_site_fract_x
_atom_site_fract_y
_atom_site_fract_z
_atom_site_occupancy
Rb1 Rb 0.000 0.000 0.046 1
Rb2 Rb 0.000 0.000 0.286 1
Rb3 Rb 0.000 0.000 0.381 1
Mn1 Mn 0.000 0.000 0.166 1
Cr1 Cr 0.000 0.000 0.500 1
Cl1 Cl 0.000 0.000 0.114 1
Cl2 Cl 0.000 0.000 0.218 1
Cl3 Cl 0.000 0.000 0.450 1
Cl4 Cl 0.000 0.500 0.000 1
Cl5 Cl 0.000 0.500 0.166 1
```

***

This record from Alexandria via LeMat-Bulk describes a geometry-optimized CrMoCl structure. The functional is GGA-PBEsol.

Results
Formation energy without anion corrections   0.73 eV per atom
Uncorrected energy   -7.28 eV per atom
Calculated volume   13.5 Å³ per atom

The structure in CIF format:
```
data_CrMoCl
_chemical_formula_sum 'Cr2 Mo2 Cl2'
_space_group_name_H-M_alt 'I m m 2'
_space_group_IT_number 44
_cell_length_a 2.872
_cell_length_b 3.970
_cell_length_c 7.112
_cell_angle_alpha 90.00
_cell_angle_beta 90.00
_cell_angle_gamma 90.00
loop_
_space_group_symop_operation_xyz
'x,y,z'
'-x,-y,z'
'-x,y,z'
'x,-y,z'
'x+1/2,y+1/2,z+1/2'
'-x+1/2,-y+1/2,z+1/2'
'-x+1/2,y+1/2,z+1/2'
'x+1/2,-y+1/2,z+1/2'
loop_
_atom_site_label
_atom_site_type_symbol
_atom_site_fract_x
_atom_site_fract_y
_atom_site_fract_z
_atom_site_occupancy
Cr1 Cr 0.000 0.000 0.000 1
Mo1 Mo 0.000 0.000 0.659 1
Cl1 Cl 0.000 0.000 0.320 1
```

***

This record from Alexandria via LeMat-Bulk describes a geometry-optimized CrMoCl3 structure. The functional is GGA-PBEsol.

Results
Formation energy without anion corrections   0.27 eV per atom
Uncorrected energy   -5.34 eV per atom
Calculated volume   21.8 Å³ per atom

The structure in CIF format:
```
data_CrMoCl3
_chemical_formula_sum 'Cr1 Mo1 Cl3'
_space_group_name_H-M_alt 'P m -3 m'
_space_group_IT_number 221
_space_group_name_Hall '-P 4 2 3'
_cell_length_a 4.774
_cell_length_b 4.774
_cell_length_c 4.774
_cell_angle_alpha 90.00
_cell_angle_beta 90.00
_cell_angle_gamma 90.00
loop_
_atom_site_label
_atom_site_type_symbol
_atom_site_fract_x
_atom_site_fract_y
_atom_site_fract_z
_atom_site_occupancy
Cr1 Cr 0.000 0.000 0.000 1
Mo1 Mo 0.500 0.500 0.500 1
Cl1 Cl 0.000 0.000 0.500 1
```

***

This record from Alexandria via LeMat-Bulk describes a geometry-optimized Cr3MoCl structure. The functional is GGA-PBEsol.

Results
Formation energy without anion corrections   0.93 eV per atom
Uncorrected energy   -7.97 eV per atom
Calculated volume   13.3 Å³ per atom

The structure in CIF format:
```
data_Cr3MoCl
_chemical_formula_sum 'Cr3 Mo1 Cl1'
_space_group_name_H-M_alt 'P m -3 m'
_space_group_IT_number 221
_space_group_name_Hall '-P 4 2 3'
_cell_length_a 4.048
_cell_length_b 4.048
_cell_length_c 4.048
_cell_angle_alpha 90.00
_cell_angle_beta 90.00
_cell_angle_gamma 90.00
loop_
_atom_site_label
_atom_site_type_symbol
_atom_site_fract_x
_atom_site_fract_y
_atom_site_fract_z
_atom_site_occupancy
Cr1 Cr 0.000 0.000 0.500 1
Mo1 Mo 0.500 0.500 0.500 1
Cl1 Cl 0.000 0.000 0.000 1
```